Record 1
First-principles (GGA-PBE) data for a relaxed CaInGa6 crystal, as listed in Alexandria via LeMat-Bulk.

Energy of formation from the pure elements: -179 meV/atom
Calculated volume: 21.4 Å³ per atom
Spin magnetization: 0.0 μB/f.u.

```
data_CaInGa6
_cell_length_a 4.107
_cell_length_b 5.951
_cell_length_c 6.999
_cell_angle_alpha 90.00
_cell_angle_beta 90.00
_cell_angle_gamma 90.00
_symmetry_space_group_name_H-M 'P m m 2'
_symmetry_Int_Tables_number 25
loop_
_symmetry_equiv_pos_as_xyz
'x,y,z'
'-x,-y,z'
'-x,y,z'
'x,-y,z'
loop_
_atom_site_label
_atom_site_type_symbol
_atom_site_fract_x
_atom_site_fract_y
_atom_site_fract_z
Ca1 Ca 0.000 0.000 0.000
In1 In 0.500 0.500 0.876
Ga1 Ga 0.000 0.279 0.572
Ga2 Ga 0.000 0.500 0.202
Ga3 Ga 0.500 0.000 0.665
Ga4 Ga 0.500 0.224 0.302
```

---

Record 2
First-principles (GGA-PBE) data for a relaxed Ca2InGa7 crystal, as listed in Alexandria via LeMat-Bulk.

Energy of formation from the pure elements: -327 meV/atom
Calculated volume: 21.7 Å³ per atom
Spin magnetization: 0.0 μB/f.u.

```
data_Ca2InGa7
_cell_length_a 4.433
_cell_length_b 4.433
_cell_length_c 11.024
_cell_angle_alpha 90.00
_cell_angle_beta 90.00
_cell_angle_gamma 90.00
_symmetry_space_group_name_H-M 'P -4 m 2'
_symmetry_Int_Tables_number 115
loop_
_symmetry_equiv_pos_as_xyz
'x,y,z'
'y,-x,-z'
'-x,-y,z'
'-y,x,-z'
'-x,y,z'
'-y,-x,-z'
'x,-y,z'
'y,x,-z'
loop_
_atom_site_label
_atom_site_type_symbol
_atom_site_fract_x
_atom_site_fract_y
_atom_site_fract_z
Ca1 Ca 0.000 0.500 0.243
In1 In 0.000 0.000 0.500
Ga1 Ga 0.000 0.000 0.000
Ga2 Ga 0.000 0.500 0.644
Ga3 Ga 0.000 0.500 0.870
Ga4 Ga 0.500 0.500 0.000
Ga5 Ga 0.500 0.500 0.500
```

---

Record 3
First-principles (GGA-PBE) data for a relaxed CaInGa3 crystal, as listed in Alexandria via LeMat-Bulk.

Energy of formation from the pure elements: 628 meV/atom
E above lowest polymorph: 0.887 eV per atom
Calculated volume: 35.0 Å³ per atom
Spin magnetization: 0.0 μB/f.u.

```
data_CaInGa3
_cell_length_a 5.593
_cell_length_b 5.593
_cell_length_c 5.593
_cell_angle_alpha 90.00
_cell_angle_beta 90.00
_cell_angle_gamma 90.00
_symmetry_space_group_name_H-M 'P m -3 m'
_symmetry_Int_Tables_number 221
_symmetry_space_group_name_Hall '-P 4 2 3'
loop_
_atom_site_label
_atom_site_type_symbol
_atom_site_fract_x
_atom_site_fract_y
_atom_site_fract_z
Ca1 Ca 0.000 0.000 0.000
In1 In 0.500 0.500 0.500
Ga1 Ga 0.000 0.000 0.500
```

---

Record 4
First-principles (GGA-PBE) data for a relaxed Ca2InGa3 crystal, as listed in Alexandria via LeMat-Bulk.

Energy of formation from the pure elements: -462 meV/atom
E above lowest polymorph: 0.000 eV per atom
Calculated volume: 23.2 Å³ per atom
Spin magnetization: 0.0 μB/f.u.

```
data_Ca2InGa3
_cell_length_a 10.932
_cell_length_b 4.633
_cell_length_c 7.490
_cell_angle_alpha 90.00
_cell_angle_beta 132.83
_cell_angle_gamma 90.00
_symmetry_space_group_name_H-M 'C 1 m 1'
_symmetry_Int_Tables_number 8
loop_
_symmetry_equiv_pos_as_xyz
'x,y,z'
'x,-y,z'
'x+1/2,y+1/2,z'
'x+1/2,-y+1/2,z'
loop_
_atom_site_label
_atom_site_type_symbol
_atom_site_fract_x
_atom_site_fract_y
_atom_site_fract_z
Ca1 Ca 0.000 0.000 0.000
Ca2 Ca 0.091 0.000 0.596
In1 In 0.205 0.500 0.402
Ga1 Ga 0.209 0.500 0.009
Ga2 Ga 0.374 0.000 0.198
Ga3 Ga 0.395 0.000 0.594
```

---

Record 5
First-principles (GGA-PBE) data for a relaxed CaInGa crystal, as listed in Alexandria via LeMat-Bulk.

Energy of formation from the pure elements: -375 meV/atom
Calculated volume: 25.9 Å³ per atom
Spin magnetization: 0.0 μB/f.u.

```
data_CaInGa
_cell_length_a 12.787
_cell_length_b 4.200
_cell_length_c 5.857
_cell_angle_alpha 90.00
_cell_angle_beta 99.04
_cell_angle_gamma 90.00
_symmetry_space_group_name_H-M 'C 1 2/m 1'
_symmetry_Int_Tables_number 12
loop_
_symmetry_equiv_pos_as_xyz
'x,y,z'
'-x,-y,-z'
'-x,y,-z'
'x,-y,z'
'x+1/2,y+1/2,z'
'-x+1/2,-y+1/2,-z'
'-x+1/2,y+1/2,-z'
'x+1/2,-y+1/2,z'
loop_
_atom_site_label
_atom_site_type_symbol
_atom_site_fract_x
_atom_site_fract_y
_atom_site_fract_z
Ca1 Ca 0.125 0.000 0.335
In1 In 0.079 0.500 0.815
Ga1 Ga 0.232 0.000 0.842
```

---

Record 6
First-principles (GGA-PBE) data for a relaxed CaInGa crystal, as listed in Alexandria via LeMat-Bulk.

Energy of formation from the pure elements: -370 meV/atom
Calculated volume: 24.5 Å³ per atom
Spin magnetization: 0.0 μB/f.u.

```
data_CaInGa
_cell_length_a 5.822
_cell_length_b 6.065
_cell_length_c 8.318
_cell_angle_alpha 90.00
_cell_angle_beta 90.00
_cell_angle_gamma 90.00
_symmetry_space_group_name_H-M 'I m m a'
_symmetry_Int_Tables_number 74
_symmetry_space_group_name_Hall '-I 2b 2'
loop_
_atom_site_label
_atom_site_type_symbol
_atom_site_fract_x
_atom_site_fract_y
_atom_site_fract_z
Ca1 Ca 0.000 0.250 0.121
In1 In 0.000 0.000 0.500
Ga1 Ga 0.250 0.250 0.750
```

---

Record 7
First-principles (GGA-PBE) data for a relaxed CaInGa2 crystal, as listed in Alexandria via LeMat-Bulk.

Energy of formation from the pure elements: -259 meV/atom
Calculated volume: 24.1 Å³ per atom
Spin magnetization: 0.0 μB/f.u.

```
data_CaInGa2
_cell_length_a 4.6166
_cell_length_b 4.6166
_cell_length_c 15.6615
_cell_angle_alpha 90.00
_cell_angle_beta 90.00
_cell_angle_gamma 120.00
_symmetry_space_group_name_H-M 'R -3 m'
_symmetry_Int_Tables_number 166
_symmetry_space_group_name_Hall '-R 3 2"'
loop_
_atom_site_label
_atom_site_type_symbol
_atom_site_fract_x
_atom_site_fract_y
_atom_site_fract_z
Ca1 Ca 0.0000 0.0000 0.0000
In1 In 0.0000 0.0000 0.5000
Ga1 Ga 0.0000 0.0000 0.2324
```

---

Record 8
First-principles (GGA-PBE) data for a relaxed Ca6In3Ga crystal, as listed in Alexandria via LeMat-Bulk.

Energy of formation from the pure elements: -386 meV/atom
Calculated volume: 29.6 Å³ per atom
Spin magnetization: 0.0 μB/f.u.

```
data_Ca6In3Ga
_cell_length_a 9.415
_cell_length_b 5.489
_cell_length_c 12.266
_cell_angle_alpha 90.00
_cell_angle_beta 110.90
_cell_angle_gamma 90.00
_symmetry_space_group_name_H-M 'P 1 21/m 1'
_symmetry_Int_Tables_number 11
loop_
_symmetry_equiv_pos_as_xyz
'x,y,z'
'-x,-y,-z'
'-x,y+1/2,-z'
'x,-y+1/2,z'
loop_
_atom_site_label
_atom_site_type_symbol
_atom_site_fract_x
_atom_site_fract_y
_atom_site_fract_z
Ca1 Ca 0.023 0.250 0.417
Ca2 Ca 0.163 0.750 0.165
Ca3 Ca 0.266 0.250 0.003
Ca4 Ca 0.352 0.750 0.825
Ca5 Ca 0.363 0.250 0.339
Ca6 Ca 0.393 0.250 0.634
In1 In 0.033 0.750 0.873
In2 In 0.101 0.250 0.720
In3 In 0.267 0.750 0.468
Ga1 Ga 0.448 0.750 0.105
```